! LaThCu4 PBE relaxed; values from VASP
&SYSTEM
  ibrav = 0, nat = 6, ntyp = 3
/
ATOMIC_SPECIES
La 138.91 La.upf
Th 232.04 Th.upf
Cu 63.55 Cu.upf
CELL_PARAMETERS angstrom
0.000 3.805 3.805
3.805 0.000 3.805
3.805 3.805 0.000
ATOMIC_POSITIONS angstrom
La 0.000 0.000 0.000
Th 5.707 5.707 5.707
Cu 2.856 2.856 2.856
Cu 4.754 4.754 2.856
Cu 4.754 2.856 4.754
Cu 2.856 4.754 4.754
! - Theoretical density: 9.4 g/cm³
! - E_form: -0.033 eV/atom



! La3ThCu2 PBE relaxed; values from VASP
&SYSTEM
  ibrav = 0, nat = 6, ntyp = 3
/
ATOMIC_SPECIES
La 138.91 La.upf
Th 232.04 Th.upf
Cu 63.55 Cu.upf
CELL_PARAMETERS angstrom
3.668 0.000 0.000
0.000 3.668 0.000
0.000 0.000 12.244
ATOMIC_POSITIONS angstrom
La 0.000 0.000 0.000
La 0.000 0.000 3.637
La 0.000 0.000 8.607
Th 1.834 1.834 6.122
Cu 1.834 1.834 1.788
Cu 1.834 1.834 10.455
! - Theoretical density: 7.8 g/cm³
! - E_form: -0.077 eV/atom



! La2ThCu PBE relaxed; values from VASP
&SYSTEM
  ibrav = 0, nat = 4, ntyp = 3
/
ATOMIC_SPECIES
La 138.91 La.upf
Th 232.04 Th.upf
Cu 63.55 Cu.upf
CELL_PARAMETERS angstrom
3.665 0.000 0.000
0.000 3.665 0.000
0.000 0.000 8.612
ATOMIC_POSITIONS angstrom
La 0.000 0.000 1.843
La 0.000 0.000 6.769
Th 1.833 1.833 4.306
Cu 1.833 1.833 0.000
! - Theoretical density: 8.2 g/cm³
! - E_form: -0.055 eV/atom



! LaThTlCu PBE relaxed; values from VASP
&SYSTEM
  ibrav = 0, nat = 4, ntyp = 4
/
ATOMIC_SPECIES
La 138.91 La.upf
Th 232.04 Th.upf
Tl 204.38 Tl.upf
Cu 63.55 Cu.upf
CELL_PARAMETERS angstrom
0.000 3.804 3.804
3.804 0.000 3.804
3.804 3.804 0.000
ATOMIC_POSITIONS angstrom
La 0.000 0.000 0.000
Th 3.804 3.804 3.804
Tl 1.902 1.902 1.902
Cu 5.706 5.706 5.706
! - Theoretical density: 9.6 g/cm³
! - E_form: -0.083 eV/atom



! LaThZnCu PBE relaxed; values from VASP
&SYSTEM
  ibrav = 0, nat = 4, ntyp = 4
/
ATOMIC_SPECIES
La 138.91 La.upf
Th 232.04 Th.upf
Zn 65.41 Zn.upf
Cu 63.55 Cu.upf
CELL_PARAMETERS angstrom
0.000 3.662 3.662
3.662 0.000 3.662
3.662 3.662 0.000
ATOMIC_POSITIONS angstrom
La 0.000 0.000 0.000
Th 3.662 3.662 3.662
Zn 1.831 1.831 1.831
Cu 5.494 5.494 5.494
! - Theoretical density: 8.4 g/cm³
! - E_form: -0.125 eV/atom



! LaTiCu3 PBE relaxed; values from VASP
&SYSTEM
  ibrav = 0, nat = 5, ntyp = 3
/
ATOMIC_SPECIES
La 138.91 La.upf
Ti 47.87 Ti.upf
Cu 63.55 Cu.upf
CELL_PARAMETERS angstrom
4.726 0.000 0.000
0.000 4.726 0.000
0.000 0.000 4.726
ATOMIC_POSITIONS angstrom
La 0.000 0.000 0.000
Ti 2.363 2.363 2.363
Cu 0.000 2.363 2.363
Cu 2.363 0.000 2.363
Cu 2.363 2.363 0.000
! - Theoretical density: 5.9 g/cm³
! - E_form: 0.385 eV/atom



! La3TiCu PBE relaxed; values from VASP
&SYSTEM
  ibrav = 0, nat = 5, ntyp = 3
/
ATOMIC_SPECIES
La 138.91 La.upf
Ti 47.87 Ti.upf
Cu 63.55 Cu.upf
CELL_PARAMETERS angstrom
5.499 0.000 0.000
0.000 5.499 0.000
0.000 0.000 5.499
ATOMIC_POSITIONS angstrom
La 0.000 0.000 2.749
La 0.000 2.749 0.000
La 2.749 0.000 0.000
Ti 0.000 0.000 0.000
Cu 2.749 2.749 2.749
! - Theoretical density: 5.3 g/cm³
! - E_form: 0.588 eV/atom



! LaTiCu3 PBE relaxed; values from VASP
&SYSTEM
  ibrav = 0, nat = 5, ntyp = 3
/
ATOMIC_SPECIES
La 138.91 La.upf
Ti 47.87 Ti.upf
Cu 63.55 Cu.upf
CELL_PARAMETERS angstrom
4.954 0.000 0.000
0.000 4.954 0.000
0.000 0.000 4.954
ATOMIC_POSITIONS angstrom
La 0.000 0.000 0.000
Ti 2.477 2.477 2.477
Cu 0.000 0.000 2.477
Cu 0.000 2.477 0.000
Cu 2.477 0.000 0.000
! - Theoretical density: 5.2 g/cm³
! - E_form: 1.349 eV/atom



! LaTi3Cu PBE relaxed; values from VASP
&SYSTEM
  ibrav = 0, nat = 5, ntyp = 3
/
ATOMIC_SPECIES
La 138.91 La.upf
Ti 47.87 Ti.upf
Cu 63.55 Cu.upf
CELL_PARAMETERS angstrom
4.758 0.000 0.000
0.000 4.758 0.000
0.000 0.000 4.758
ATOMIC_POSITIONS angstrom
La 0.000 0.000 0.000
Ti 0.000 0.000 2.379
Ti 0.000 2.379 0.000
Ti 2.379 0.000 0.000
Cu 2.379 2.379 2.379
! - Theoretical density: 5.3 g/cm³
! - E_form: 1.424 eV/atom



! LaTi3Cu PBE relaxed; values from VASP
&SYSTEM
  ibrav = 0, nat = 5, ntyp = 3
/
ATOMIC_SPECIES
La 138.91 La.upf
Ti 47.87 Ti.upf
Cu 63.55 Cu.upf
CELL_PARAMETERS angstrom
4.777 0.000 0.000
0.000 4.777 0.000
0.000 0.000 4.777
ATOMIC_POSITIONS angstrom
La 0.000 0.000 0.000
Ti 0.000 2.388 2.388
Ti 2.388 0.000 2.388
Ti 2.388 2.388 0.000
Cu 2.388 2.388 2.388
! - Theoretical density: 5.3 g/cm³
! - E_form: 0.490 eV/atom



! LaTiCu2W PBE relaxed; values from VASP
&SYSTEM
  ibrav = 0, nat = 5, ntyp = 4
/
ATOMIC_SPECIES
La 138.91 La.upf
Ti 47.87 Ti.upf
Cu 63.55 Cu.upf
W 183.84 W.upf
CELL_PARAMETERS angstrom
4.844 0.000 0.000
0.000 4.844 0.000
0.000 0.000 5.131
ATOMIC_POSITIONS angstrom
La 0.000 0.000 0.000
Ti 2.422 2.422 0.000
Cu 0.000 2.422 2.566
Cu 2.422 0.000 2.566
W 0.000 0.000 2.566
! - Theoretical density: 6.9 g/cm³
! - E_form: 1.289 eV/atom



! LaTiZn2Cu PBE relaxed; values from VASP
&SYSTEM
  ibrav = 0, nat = 5, ntyp = 4
/
ATOMIC_SPECIES
La 138.91 La.upf
Ti 47.87 Ti.upf
Zn 65.41 Zn.upf
Cu 63.55 Cu.upf
CELL_PARAMETERS angstrom
4.973 0.000 0.000
0.000 4.973 0.000
0.000 0.000 4.616
ATOMIC_POSITIONS angstrom
La 0.000 0.000 0.000
Ti 2.486 2.486 2.308
Zn 0.000 2.486 2.308
Zn 2.486 0.000 2.308
Cu 2.486 2.486 0.000
! - Theoretical density: 5.5 g/cm³
! - E_form: 0.262 eV/atom